Entry 1:
# Re2Os | Alexandria | PBE | relaxed
data_Re2Os
_chemical_formula_sum 'Re8 Os4'
_space_group_name_H-M_alt 'C m c m'
_space_group_IT_number 63
_space_group_name_Hall '-C 2c 2'
_cell_length_a 2.778
_cell_length_b 14.406
_cell_length_c 4.414
_cell_angle_alpha 90.00
_cell_angle_beta 90.00
_cell_angle_gamma 90.00
loop_
_atom_site_label
_atom_site_fract_x
_atom_site_fract_y
_atom_site_fract_z
Re1 0.000 0.055 0.250
Re2 0.000 0.277 0.750
Os1 0.000 0.390 0.250
# DOS at the Fermi energy (states/eV/cell): 8.7
# Energy of formation (meV/atom): -66
# Crystal system: orthorhombic

Entry 2:
# Ho2SiGeRh6 | Alexandria | PBE | relaxed
data_Ho2SiGeRh6
_chemical_formula_sum 'Ho8 Si4 Ge4 Rh24'
_space_group_name_H-M_alt 'F m -3 m'
_space_group_IT_number 225
_space_group_name_Hall '-F 4 2 3'
_cell_length_a 9.009
_cell_length_b 9.009
_cell_length_c 9.009
_cell_angle_alpha 90.00
_cell_angle_beta 90.00
_cell_angle_gamma 90.00
loop_
_atom_site_label
_atom_site_fract_x
_atom_site_fract_y
_atom_site_fract_z
Ho1 0.250 0.250 0.250
Si1 0.000 0.000 0.000
Ge1 0.000 0.000 0.500
Rh1 0.000 0.000 0.245
# Raw formation energy (eV/atom): -0.53
# DOS at the Fermi energy (states/eV/cell): 4.8
# Crystal system: cubic